[1]
Here is an optimized crystal structure of Li2ReRh from the Alexandria database. Energies are from PBE.

```
Li2ReRh
1.0
2.8293 0.0000 0.0000
0.0000 4.3875 0.0000
0.0000 0.0000 8.1843
Li Re Rh
4 2 2
Direct
0.0000 0.0000 0.0000 Li
0.0000 0.5000 0.2797 Li
0.5000 0.0000 0.7797 Li
0.5000 0.5000 0.5000 Li
0.0000 0.5000 0.7656 Re
0.5000 0.0000 0.2656 Re
0.0000 0.0000 0.5288 Rh
0.5000 0.5000 0.0288 Rh
```

## Properties
As for the excess energy over the best structure of this formula in the dataset: 0.1731 eV per atom. As for the energy of formation from the pure elements: 22.08 kJ/mol of atoms. As for the total energy: -5.678 eV per atom.



[2]
Here is an optimized crystal structure of LiRe2Rh from the Alexandria database. Energies are from PBE.

```
LiRe2Rh
1.0
9.4159 0.0000 0.0000
0.0000 2.7351 0.0000
-0.8286 0.0000 4.4547
Li Re Rh
2 4 2
Direct
0.0000 0.0000 0.0000 Li
0.5000 0.5000 0.0000 Li
0.2362 0.0000 0.7443 Re
0.2638 0.5000 0.2557 Re
0.7362 0.5000 0.7443 Re
0.7638 0.0000 0.2557 Re
0.0000 0.5000 0.5000 Rh
0.5000 0.0000 0.5000 Rh
```

## Properties
As for the excess energy over the best structure of this formula in the dataset: 0.0378 eV per atom. As for the energy of formation from the pure elements: 9.38 kJ/mol of atoms. As for the total energy: -8.443 eV per atom.



[3]
Here is an optimized crystal structure of Li2ReRh from the Alexandria database. Energies are from PBE.

```
Li2ReRh
1.0
6.6871 0.0000 0.0000
0.0000 6.6871 0.0000
0.0000 0.0000 4.9305
Li Re Rh
8 4 4
Direct
0.2360 0.7500 0.1250 Li
0.2500 0.2360 0.8750 Li
0.2500 0.2640 0.3750 Li
0.2640 0.7500 0.6250 Li
0.7360 0.2500 0.6250 Li
0.7500 0.7360 0.3750 Li
0.7500 0.7640 0.8750 Li
0.7640 0.2500 0.1250 Li
0.0000 0.0000 0.5000 Re
0.0000 0.5000 0.7500 Re
0.5000 0.0000 0.2500 Re
0.5000 0.5000 0.0000 Re
0.0000 0.0000 0.0000 Rh
0.0000 0.5000 0.2500 Rh
0.5000 0.0000 0.7500 Rh
0.5000 0.5000 0.5000 Rh
```

## Properties
As for the excess energy over the best structure of this formula in the dataset: 0.7030 eV per atom. As for the energy of formation from the pure elements: 73.21 kJ/mol of atoms. As for the total energy: -5.148 eV per atom.



[4]
Here is an optimized crystal structure of LiRe2Rh from the Alexandria database. Energies are from PBE.

```
LiRe2Rh
1.0
2.8742 0.0000 0.0000
0.0000 4.4220 0.0000
0.0000 0.0000 9.2935
Li Re Rh
2 4 2
Direct
0.0000 0.0000 0.0000 Li
0.5000 0.5000 0.0000 Li
0.0000 0.5000 0.2548 Re
0.0000 0.5000 0.7452 Re
0.5000 0.0000 0.2548 Re
0.5000 0.0000 0.7452 Re
0.0000 0.0000 0.5000 Rh
0.5000 0.5000 0.5000 Rh
```

## Properties
As for the excess energy over the best structure of this formula in the dataset: 0.2621 eV per atom. As for the energy of formation from the pure elements: 31.01 kJ/mol of atoms. As for the total energy: -8.219 eV per atom.



[5]
Here is an optimized crystal structure of LiRe2Rh from the Alexandria database. Energies are from PBE.

```
LiRe2Rh
1.0
3.0127 0.0000 0.0000
0.0000 4.1609 0.0000
0.0000 0.0000 4.4899
Li Re Rh
1 2 1
Direct
0.0000 0.0000 0.0000 Li
0.0000 0.5000 0.5000 Re
0.5000 0.0000 0.5000 Re
0.5000 0.5000 0.0000 Rh
```

## Properties
As for the excess energy over the best structure of this formula in the dataset: 0.0928 eV per atom. As for the energy of formation from the pure elements: 14.68 kJ/mol of atoms. As for the total energy: -8.388 eV per atom.



[6]
Here is an optimized crystal structure of LiReRuRh from the Alexandria database. Energies are from PBE.

```
LiReRuRh
1.0
6.0234 0.0000 0.0000
0.0000 6.0234 0.0000
0.0000 0.0000 6.0234
Li Re Ru Rh
4 4 4 4
Direct
0.0000 0.0000 0.0000 Li
0.0000 0.5000 0.5000 Li
0.5000 0.0000 0.5000 Li
0.5000 0.5000 0.0000 Li
0.0000 0.0000 0.5000 Re
0.0000 0.5000 0.0000 Re
0.5000 0.0000 0.0000 Re
0.5000 0.5000 0.5000 Re
0.2500 0.2500 0.7500 Ru
0.2500 0.7500 0.2500 Ru
0.7500 0.2500 0.2500 Ru
0.7500 0.7500 0.7500 Ru
0.2500 0.2500 0.2500 Rh
0.2500 0.7500 0.7500 Rh
0.7500 0.2500 0.7500 Rh
0.7500 0.7500 0.2500 Rh
```

## Properties
As for the energy of formation from the pure elements: 1.96 kJ/mol of atoms. As for the total energy: -7.727 eV per atom.



Short version: total magnetic moment = 0.0, 0.0, 0.0, 0.0, 0.0, 0.0 Bohr magnetons per cell, in the order given.